AcLa4Nd5 after structural relaxation, computed with PBE-GGA.

a = 10.9280 Å, b = 10.9280 Å, c = 6.1039 Å
α = 90.00°, β = 90.00°, γ = 90.00°
Element x y z (fractional)
1 Ac 0.2500 0.2500 0.1826
2 Ac 0.7500 0.7500 0.8174
3 La 0.0568 0.7500 0.8682
4 La 0.2500 0.5568 0.1318
5 La 0.2500 0.9432 0.1318
6 La 0.4432 0.7500 0.8682
7 La 0.5568 0.2500 0.1318
8 La 0.7500 0.0568 0.8682
9 La 0.7500 0.4432 0.8682
10 La 0.9432 0.2500 0.1318
11 Nd 0.0872 0.0872 0.6611
12 Nd 0.0872 0.4128 0.6611
13 Nd 0.2500 0.7500 0.5000
14 Nd 0.4128 0.0872 0.6611
15 Nd 0.4128 0.4128 0.6611
16 Nd 0.5872 0.5872 0.3389
17 Nd 0.5872 0.9128 0.3389
18 Nd 0.7500 0.2500 0.5000
19 Nd 0.9128 0.5872 0.3389
20 Nd 0.9128 0.9128 0.3389

Output
For the energy relative to the lowest polymorph listed for this composition, the calculation gives 0.135 eV/atom. For the formation energy, the calculation gives 0.166 eV per atom.